The following is a PBE calculation of a geometry-optimized BiTe3C structure, from Alexandria.

Geometry as POSCAR:
```
BiTe3C
1.0
-0.884 -3.782 3.009
-0.154 -3.036 -3.860
4.831 -0.789 0.427
Te C Bi
3 1 1
Direct
0.500 0.000 0.000 Te
0.000 0.000 0.500 Te
0.000 0.500 0.000 Te
0.000 0.000 0.000 C
0.500 0.500 0.500 Bi
```

Results
As for the formation energy without anion corrections: 4.15 eV/f.u. Its crystal system is cubic. Its energy is -3.68 eV/atom. For the density, the calculation gives 8.454 g/cm3. As for the space group: Pm-3m, No. 221.